VRh3S, relaxed, DFT GGA-PBE; space-group type = Pm-3m (221); final energy = -6.79 eV/atom; calculated density = 7.86 Mg/m³; E above lowest polymorph = 0 meV per atom; raw formation energy = 6.2 kcal/mol of atoms
1.0
4.358 0.000 0.000
0.000 4.358 0.000
0.000 0.000 4.358
S Rh V
1 3 1
Direct
0.000 0.000 0.000
0.000 0.500 0.000
0.000 0.000 0.500
0.500 0.000 0.000
0.500 0.500 0.500

=====

HoThPtRh, relaxed, DFT GGA-PBE; space-group type = Amm2 (38); final energy = -7.47 eV/atom; calculated density = 12.73 Mg/m³; E above lowest polymorph = 0 meV per atom; DFT formation energy = -1.13 eV/atom
1.0
-0.683 -1.761 3.322
-3.033 -2.434 -1.914
4.128 -2.881 -2.877
Ho Th Pt Rh
1 1 1 1
Direct
0.140 0.000 0.280
0.865 0.500 0.731
0.591 0.500 0.183
0.403 0.000 0.807

=====

Which value of final energy does entry 1 give? -6.79 eV/atom

=====

Which value of final energy does entry 2 give? -7.47 eV/atom